P.
Here is a relaxed structure of Sr2HgCl from Alexandria via LeMat-Bulk. Energies are from PBE.

Cell lengths 6.293, 6.293, 6.293 Å; angles 140.03, 112.39, 81.53 degrees
Positions (direct):
1 Sr 0.219 0.219 0.000
2 Sr 0.781 0.781 0.000
3 Hg 0.500 0.000 0.500
4 Cl 0.000 0.500 0.500

---

Q.
Here is a relaxed structure of Sr2HgCl from Alexandria via LeMat-Bulk. Energies are from PBE.

Cell lengths 4.583, 4.583, 6.573 Å; angles 90.00, 90.00, 90.00 degrees
Positions (direct):
1 Sr 0.000 0.000 0.000
2 Sr 0.500 0.500 0.500
3 Hg 0.000 0.000 0.500
4 Cl 0.500 0.500 0.000

---

Tell me which of them is the most stable. Sure, it is Q.